(1)
SiNi2Cl: relaxed, GGA-PBE.

abc: 3.1867 3.3536 5.8546
angles: 90.00 90.00 90.00
With the nearest neighbours (Å) after each atom.
Space group Pmm2 (No. 25)
Symmetry-distinct sites (fractional):
1 Si 0.0000 0.0000 0.0000 [1 per cell]  6 Ni 2.25-2.36
2 Ni 0.0000 0.5000 0.7432 [1 per cell]  2 Cl 2.25, 2 Si 2.25
3 Ni 0.5000 0.5000 0.0814 [1 per cell]  1 Cl 2.29, 4 Si 2.36, 2 Ni 2.54
4 Cl 0.5000 0.5000 0.4718 [1 per cell]  3 Ni 2.25-2.29

## Properties
* ρ: 4.802 g cm⁻³
* total magnetic moment: 0.000 Bohr magnetons per cell
* polymorph energy (0 for the lowest one): 46 meV/atom
* ΔE_f (raw): -0.2543 eV per atom

=====

(2)
SiNiCl: relaxed, GGA-PBE.

abc: 3.9853 4.9247 10.9371
angles: 90.00 90.00 90.00
With the nearest neighbours (Å) after each atom.
Space group Fmm2 (No. 42)
Symmetry-distinct sites (fractional):
1 Si 0.0000 0.0000 0.0000 [4 per cell]  2 Ni 2.24
2 Ni 0.0000 0.0000 0.4072 [4 per cell]  2 Si 2.24, 2 Cl 2.50
3 Cl 0.0000 0.0000 0.7699 [4 per cell]  2 Ni 2.50, 1 Si 2.52

## Properties
* ρ: 3.782 g cm⁻³
* total magnetic moment: 0.000 Bohr magnetons per cell
* polymorph energy (0 for the lowest one): 414 meV/atom
* ΔE_f (raw): 0.0686 eV per atom

=====

(3)
SiNi2Cl: relaxed, GGA-PBE.

abc: 12.1597 3.3850 3.0447
angles: 90.00 104.30 90.00
With the nearest neighbours (Å) after each atom.
Space group Cm (No. 8)
Symmetry-distinct sites (fractional):
1 Si 0.0000 0.0000 0.0000 [2 per cell]  6 Ni 2.25-2.35
2 Ni 0.0507 0.5000 0.5498 [2 per cell]  1 Cl 2.26, 4 Si 2.35
3 Ni 0.3743 0.0000 0.8752 [2 per cell]  2 Si 2.25, 2 Cl 2.30
4 Cl 0.2426 0.5000 0.7345 [2 per cell]  3 Ni 2.26-2.30

## Properties
* ρ: 4.948 g cm⁻³
* total magnetic moment: 0.000 Bohr magnetons per cell
* polymorph energy (0 for the lowest one): 50 meV/atom
* ΔE_f (raw): -0.2505 eV per atom

=====

(4)
Si4NiCl: relaxed, GGA-PBE.

abc: 7.2444 7.2444 7.2444
angles: 90.00 90.00 90.00
With the nearest neighbours (Å) after each atom.
Space group F-43m (No. 216)
Symmetry-distinct sites (fractional):
1 Si 0.1244 0.1244 0.3756 [16 per cell]  6 Si 2.55-2.57
2 Ni 0.0000 0.0000 0.0000 [4 per cell]  12 Si 3.00, 4 Cl 3.14
3 Cl 0.2500 0.2500 0.7500 [4 per cell]  12 Si 3.00, 4 Ni 3.14

## Properties
* ρ: 3.607 g cm⁻³
* total magnetic moment: 0.005 Bohr magnetons per cell
* ΔE_f (raw): 0.6031 eV per atom

=====

(5)
SiNi2Cl: relaxed, GGA-PBE.

abc: 2.7942 5.5853 7.5400
angles: 90.00 90.00 90.00
With the nearest neighbours (Å) after each atom.
Space group Immm (No. 71)
Symmetry-distinct sites (fractional):
1 Si 0.0000 0.0000 0.0000 [2 per cell]  4 Ni 2.26
2 Ni 0.0000 0.5000 0.2641 [4 per cell]  2 Si 2.26, 2 Cl 2.43
3 Cl 0.0000 0.0000 0.5000 [2 per cell]  4 Ni 2.43

## Properties
* ρ: 5.106 g cm⁻³
* total magnetic moment: 0.000 Bohr magnetons per cell
* polymorph energy (0 for the lowest one): 418 meV/atom
* ΔE_f (raw): 0.1177 eV per atom

=====

(6)
SiNiCl: relaxed, GGA-PBE.

abc: 3.0474 3.0474 10.7422
angles: 90.00 90.00 90.00
With the nearest neighbours (Å) after each atom.
Space group I4mm (No. 107)
Symmetry-distinct sites (fractional):
1 Si 0.0000 0.0000 0.0000 [2 per cell]  1 Cl 2.12, 4 Ni 2.32
2 Ni 0.0000 0.0000 0.4193 [2 per cell]  4 Si 2.32, 1 Cl 2.38
3 Cl 0.0000 0.0000 0.1974 [2 per cell]  1 Si 2.12

## Properties
* ρ: 4.069 g cm⁻³
* total magnetic moment: 0.000 Bohr magnetons per cell
* polymorph energy (0 for the lowest one): 0 meV/atom
* ΔE_f (raw): -0.3454 eV per atom

=====

(7)
SiNi2Cl: relaxed, GGA-PBE.

abc: 3.6800 3.6800 17.7726
angles: 90.00 90.00 120.00
With the nearest neighbours (Å) after each atom.
Space group R-3m (No. 166, hexagonal axes)
Symmetry-distinct sites (fractional):
1 Si 0.0000 0.0000 0.0000 [3 per cell]  6 Ni 2.26
2 Ni 0.0000 0.0000 0.3770 [6 per cell]  1 Cl 2.19, 3 Si 2.26
3 Cl 0.0000 0.0000 0.5000 [3 per cell]  2 Ni 2.19

## Properties
* ρ: 4.324 g cm⁻³
* total magnetic moment: 0.000 Bohr magnetons per cell
* polymorph energy (0 for the lowest one): 0 meV/atom
* ΔE_f (raw): -0.3003 eV per atom

=====

(8)
SiNi2Cl: relaxed, GGA-PBE.

abc: 2.9251 2.9251 6.2998
angles: 90.00 90.00 90.00
With the nearest neighbours (Å) after each atom.
Space group P4/mmm (No. 123)
Symmetry-distinct sites (fractional):
1 Si 0.0000 0.0000 0.0000 [1 per cell]  8 Ni 2.41
2 Ni 0.5000 0.5000 0.1965 [2 per cell]  4 Si 2.41, 1 Ni 2.48
3 Cl 0.0000 0.0000 0.5000 [1 per cell]  8 Ni 2.82, 4 Cl 2.93, 2 Si 3.15

## Properties
* ρ: 5.574 g cm⁻³
* total magnetic moment: 0.000 Bohr magnetons per cell
* polymorph energy (0 for the lowest one): 244 meV/atom
* ΔE_f (raw): -0.0566 eV per atom

=====

(9)
SiNi2Cl: relaxed, GGA-PBE.

abc: 5.6170 7.3716 2.9306
angles: 90.00 116.06 90.00
With the nearest neighbours (Å) after each atom.
Space group C2/m (No. 12)
Symmetry-distinct sites (fractional):
1 Si 0.0000 0.0000 0.0000 [2 per cell]  4 Ni 2.39
2 Ni 0.2500 0.2500 0.5000 [4 per cell]  2 Cl 2.39, 2 Si 2.39
3 Cl 0.0000 0.5000 0.0000 [2 per cell]  4 Ni 2.39

## Properties
* ρ: 5.512 g cm⁻³
* total magnetic moment: 0.000 Bohr magnetons per cell
* polymorph energy (0 for the lowest one): 595 meV/atom
* ΔE_f (raw): 0.2948 eV per atom

=====

(10)
SiNi2Cl: relaxed, GGA-PBE.

abc: 2.9823 3.3186 11.8907
angles: 90.00 90.00 90.00
With the nearest neighbours (Å) after each atom.
Space group Imm2 (No. 44)
Symmetry-distinct sites (fractional):
1 Si 0.0000 0.0000 0.0000 [2 per cell]  6 Ni 2.25-2.32
2 Ni 0.0000 0.0000 0.4469 [2 per cell]  4 Si 2.32
3 Ni 0.0000 0.5000 0.1279 [2 per cell]  2 Si 2.25
4 Cl 0.0000 0.5000 0.7466 [2 per cell]  6 Ni 2.64-2.81

## Properties
* ρ: 5.106 g cm⁻³
* total magnetic moment: 0.000 Bohr magnetons per cell
* polymorph energy (0 for the lowest one): 200 meV/atom
* ΔE_f (raw): -0.1007 eV per atom

=====

(11)
SiNi2Cl: relaxed, GGA-PBE.

abc: 5.5745 5.5745 8.7299
angles: 90.00 90.00 90.00
With the nearest neighbours (Å) after each atom.
Space group I-42d (No. 122)
Symmetry-distinct sites (fractional):
1 Si 0.0000 0.0000 0.0000 [4 per cell]  4 Ni 2.22
2 Ni 0.2413 0.2500 0.1250 [8 per cell]  2 Si 2.22, 2 Cl 2.28
3 Cl 0.0000 0.0000 0.5000 [4 per cell]  4 Ni 2.28

## Properties
* ρ: 4.430 g cm⁻³
* total magnetic moment: 0.000 Bohr magnetons per cell
* polymorph energy (0 for the lowest one): 387 meV/atom
* ΔE_f (raw): 0.0871 eV per atom

=====

(12)
SiNiCl: relaxed, GGA-PBE.

abc: 3.3685 3.3685 5.0755
angles: 90.00 90.00 120.00
With the nearest neighbours (Å) after each atom.
Space group P3m1 (No. 156)
Symmetry-distinct sites (fractional):
1 Si 0.0000 0.0000 0.0000 [1 per cell]  3 Ni 2.26
2 Ni 0.3333 0.6667 0.7729 [1 per cell]  3 Si 2.26, 3 Cl 2.50
3 Cl 0.6667 0.3333 0.4626 [1 per cell]  3 Ni 2.50

## Properties
* ρ: 4.070 g cm⁻³
* total magnetic moment: 0.000 Bohr magnetons per cell
* polymorph energy (0 for the lowest one): 263 meV/atom
* ΔE_f (raw): -0.0822 eV per atom

=====

(13)
SiNiCl: relaxed, GGA-PBE.

abc: 6.0304 6.0304 6.0304
angles: 90.00 90.00 90.00
With the nearest neighbours (Å) after each atom.
Space group F-43m (No. 216)
Symmetry-distinct sites (fractional):
1 Si 0.0000 0.0000 0.0000 [4 per cell]  4 Cl 2.61, 4 Ni 2.61
2 Ni 0.2500 0.2500 0.7500 [4 per cell]  4 Si 2.61
3 Cl 0.2500 0.2500 0.2500 [4 per cell]  4 Si 2.61

## Properties
* ρ: 3.702 g cm⁻³
* total magnetic moment: 0.014 Bohr magnetons per cell
* polymorph energy (0 for the lowest one): 1019 meV/atom
* ΔE_f (raw): 0.6736 eV per atom

=====

(14)
SiNiCl: relaxed, GGA-PBE.

abc: 5.8947 5.8947 5.8947
angles: 90.00 90.00 90.00
With the nearest neighbours (Å) after each atom.
Space group F-43m (No. 216)
Symmetry-distinct sites (fractional):
1 Si 0.0000 0.0000 0.0000 [4 per cell]  4 Ni 2.55
2 Ni 0.2500 0.2500 0.2500 [4 per cell]  4 Cl 2.55, 4 Si 2.55
3 Cl 0.0000 0.0000 0.5000 [4 per cell]  4 Ni 2.55

## Properties
* ρ: 3.964 g cm⁻³
* total magnetic moment: 0.000 Bohr magnetons per cell
* polymorph energy (0 for the lowest one): 699 meV/atom
* ΔE_f (raw): 0.3540 eV per atom

=====

(15)
SiNi2Cl: relaxed, GGA-PBE.

abc: 3.6932 3.6932 16.3626
angles: 90.00 90.00 120.00
With the nearest neighbours (Å) after each atom.
Space group R3m (No. 160, hexagonal axes)
Symmetry-distinct sites (fractional):
1 Si 0.0000 0.0000 0.0000 [3 per cell]  6 Ni 2.25-2.26
2 Ni 0.0000 0.0000 0.3794 [3 per cell]  3 Si 2.26
3 Ni 0.0000 0.0000 0.6218 [3 per cell]  3 Si 2.25
4 Cl 0.0000 0.0000 0.8425 [3 per cell]  1 Si 2.58, 3 Ni 2.82

## Properties
* ρ: 4.663 g cm⁻³
* total magnetic moment: 0.000 Bohr magnetons per cell
* polymorph energy (0 for the lowest one): 189 meV/atom
* ΔE_f (raw): -0.1112 eV per atom

=====

(16)
SiTcNiCl: relaxed, GGA-PBE.

abc: 2.8630 3.4570 6.5612
angles: 90.00 90.00 90.00
With the nearest neighbours (Å) after each atom.
Space group Pmm2 (No. 25)
Symmetry-distinct sites (fractional):
1 Si 0.0000 0.0000 0.0000 [1 per cell]  4 Ni 2.35, 2 Tc 2.38
2 Tc 0.0000 0.5000 0.7507 [1 per cell]  2 Si 2.38, 2 Cl 2.39
3 Ni 0.5000 0.5000 0.1079 [1 per cell]  1 Cl 2.30, 4 Si 2.35
4 Cl 0.5000 0.5000 0.4582 [1 per cell]  1 Ni 2.30, 2 Tc 2.39

## Properties
* ρ: 5.632 g cm⁻³
* total magnetic moment: 0.000 Bohr magnetons per cell
* polymorph energy (0 for the lowest one): 59 meV/atom
* ΔE_f (raw): -0.1039 eV per atom

=====

(17)
SiTcNiCl: relaxed, GGA-PBE.

abc: 5.6558 3.0955 7.4343
angles: 90.00 109.02 90.00
With the nearest neighbours (Å) after each atom.
Space group Cm (No. 8)
Symmetry-distinct sites (fractional):
1 Si 0.0000 0.0000 0.0000 [2 per cell]  3 Ni 2.25-2.26, 3 Tc 2.40-2.41
2 Tc 0.4186 0.0000 0.2218 [2 per cell]  3 Si 2.40-2.41, 2 Cl 2.56
3 Ni 0.2433 0.0000 0.8128 [2 per cell]  1 Cl 2.19, 3 Si 2.25-2.26
4 Cl 0.1355 0.0000 0.5013 [2 per cell]  1 Ni 2.19

## Properties
* ρ: 5.944 g cm⁻³
* total magnetic moment: 0.000 Bohr magnetons per cell
* polymorph energy (0 for the lowest one): 40 meV/atom
* ΔE_f (raw): -0.1224 eV per atom

=====

(18)
SiTcNiCl: relaxed, GGA-PBE.

abc: 2.9836 3.4246 12.0821
angles: 90.00 90.00 90.00
With the nearest neighbours (Å) after each atom.
Space group Amm2 (No. 38)
Symmetry-distinct sites (fractional):
1 Si 0.0000 0.0000 0.0000 [2 per cell]  2 Ni 2.26, 4 Tc 2.45
2 Tc 0.5000 0.0000 0.5751 [2 per cell]  4 Si 2.45, 2 Cl 2.49
3 Ni 0.0000 0.0000 0.3777 [2 per cell]  2 Si 2.26, 2 Cl 2.39
4 Cl 0.0000 0.0000 0.7398 [2 per cell]  2 Ni 2.39, 2 Tc 2.49

## Properties
* ρ: 5.925 g cm⁻³
* total magnetic moment: 0.000 Bohr magnetons per cell
* polymorph energy (0 for the lowest one): 29 meV/atom
* ΔE_f (raw): -0.1340 eV per atom

=====

(19)
SiTcNiCl: relaxed, GGA-PBE.

abc: 7.2815 3.0285 6.2967
angles: 90.00 99.16 90.00
With the nearest neighbours (Å) after each atom.
Space group Cm (No. 8)
Symmetry-distinct sites (fractional):
1 Si 0.0000 0.0000 0.0000 [2 per cell]  3 Ni 2.32-2.41, 3 Tc 2.37-2.41
2 Tc 0.2660 0.0000 0.8272 [2 per cell]  3 Si 2.37-2.41, 2 Cl 2.47, 2 Ni 2.65
3 Ni 0.2209 0.5000 0.1604 [2 per cell]  1 Cl 2.24, 3 Si 2.32-2.41
4 Cl 0.2132 0.5000 0.5141 [2 per cell]  1 Ni 2.24, 2 Tc 2.47

## Properties
* ρ: 5.335 g cm⁻³
* total magnetic moment: 0.000 Bohr magnetons per cell
* polymorph energy (0 for the lowest one): 31 meV/atom
* ΔE_f (raw): -0.1314 eV per atom

=====

(20)
SiTcNiCl: relaxed, GGA-PBE.

abc: 3.0521 2.9310 13.4859
angles: 90.00 90.00 90.00
With the nearest neighbours (Å) after each atom.
Space group Amm2 (No. 38)
Symmetry-distinct sites (fractional):
1 Si 0.0000 0.0000 0.0000 [2 per cell]  4 Ni 2.43, 4 Tc 2.54
2 Tc 0.5000 0.0000 0.3959 [2 per cell]  2 Cl 2.42, 4 Si 2.54, 1 Ni 2.59
3 Ni 0.5000 0.0000 0.5882 [2 per cell]  1 Cl 2.23, 4 Si 2.43
4 Cl 0.5000 0.0000 0.7533 [2 per cell]  1 Ni 2.23, 2 Tc 2.42

## Properties
* ρ: 6.063 g cm⁻³
* total magnetic moment: 0.000 Bohr magnetons per cell
* polymorph energy (0 for the lowest one): 0 meV/atom
* ΔE_f (raw): -0.1627 eV per atom